(1)
CsNa3Cd | meta-GGA SCAN | PBEsol geometry

ΔH_f (0 K), meV per atom: -3
Density, g/cm3: 2.341
Space group: Pm-3m, No. 221

Cell and atoms, written as POSCAR:
```
CsNa3Cd
1.0
6.064 0.000 0.000
0.000 6.064 0.000
0.000 0.000 6.064
Cs Na Cd
1 3 1
direct
0.000 0.000 0.000 Cs
0.000 0.500 0.500 Na
0.500 0.000 0.500 Na
0.500 0.500 0.000 Na
0.500 0.500 0.500 Cd
```

***

(2)
CsNa2Cd | meta-GGA SCAN | PBEsol geometry

ΔH_f (0 K), meV per atom: 98
Density, g/cm3: 2.792
Space group: I-42d, No. 122

Cell and atoms, written as POSCAR:
```
CsNa2Cd
1.0
-2.644 2.644 12.392
2.644 -2.644 12.392
2.644 2.644 -12.392
Cs Na Cd
2 4 2
direct
0.000 0.000 0.000 Cs
0.750 0.250 0.500 Cs
0.189 0.625 0.064 Na
0.375 0.439 0.564 Na
0.561 0.125 0.936 Na
0.875 0.811 0.436 Na
0.250 0.750 0.500 Cd
0.500 0.500 0.000 Cd
```

***

(3)
CsCdNi3 | meta-GGA SCAN | PBEsol geometry

ΔH_f (0 K), meV per atom: 2105
Density, g/cm3: 6.538
Space group: Pm-3m, No. 221

Cell and atoms, written as POSCAR:
```
CsCdNi3
1.0
4.748 0.000 0.000
0.000 4.748 0.000
0.000 0.000 4.748
Cs Cd Ni
1 1 3
direct
0.000 0.000 0.000 Cs
0.500 0.500 0.500 Cd
0.000 0.000 0.500 Ni
0.000 0.500 0.000 Ni
0.500 0.000 0.000 Ni
```

***

(4)
CsCd2NiRh | meta-GGA SCAN | PBEsol geometry

ΔH_f (0 K), meV per atom: 2095
Density, g/cm3: 5.348
Space group: P4/mmm, No. 123

Cell and atoms, written as POSCAR:
```
CsCd2NiRh
1.0
5.909 0.000 0.000
0.000 5.909 0.000
0.000 0.000 4.619
Cs Cd Ni Rh
1 2 1 1
direct
0.000 0.000 0.000 Cs
0.000 0.500 0.000 Cd
0.500 0.000 0.000 Cd
0.000 0.000 0.500 Ni
0.500 0.500 0.500 Rh
```

***

(5)
Cs2CdP2O7 | meta-GGA SCAN | PBEsol geometry

Density, g/cm3: 4.095
Space group: Pnma, No. 62
Formation energy (no corrections), eV per atom: -2.37

Cell and atoms, written as POSCAR:
```
Cs2CdP2O7
1.0
16.257 0.000 0.000
0.000 5.517 0.000
0.000 0.000 9.985
Cs Cd P O
8 4 8 28
direct
0.078 0.250 0.143 Cs
0.108 0.750 0.533 Cs
0.392 0.250 0.033 Cs
0.422 0.750 0.643 Cs
0.578 0.250 0.357 Cs
0.608 0.750 0.967 Cs
0.892 0.250 0.467 Cs
0.922 0.750 0.857 Cs
0.191 0.750 0.890 Cd
0.309 0.250 0.390 Cd
0.691 0.750 0.610 Cd
0.809 0.250 0.110 Cd
0.089 0.250 0.762 P
0.230 0.750 0.232 P
0.270 0.250 0.732 P
0.411 0.750 0.262 P
0.589 0.250 0.738 P
0.730 0.750 0.268 P
0.770 0.250 0.768 P
0.911 0.750 0.238 P
0.024 0.250 0.654 O
0.091 0.019 0.848 O
0.091 0.481 0.848 O
0.176 0.250 0.675 O
0.176 0.750 0.107 O
0.217 0.520 0.316 O
0.217 0.980 0.316 O
0.283 0.020 0.816 O
0.283 0.480 0.816 O
0.324 0.250 0.607 O
0.324 0.750 0.175 O
0.409 0.519 0.348 O
0.409 0.981 0.348 O
0.476 0.750 0.154 O
0.524 0.250 0.846 O
0.591 0.019 0.652 O
0.591 0.481 0.652 O
0.676 0.250 0.825 O
0.676 0.750 0.393 O
0.717 0.520 0.184 O
0.717 0.980 0.184 O
0.783 0.020 0.684 O
0.783 0.480 0.684 O
0.824 0.250 0.893 O
0.824 0.750 0.325 O
0.909 0.519 0.152 O
0.909 0.981 0.152 O
0.976 0.750 0.346 O
```

***

(6)
CsCdP3O9 | meta-GGA SCAN | PBEsol geometry

Density, g/cm3: 3.495
Space group: Pnma, No. 62
Formation energy (no corrections), eV per atom: -2.34

Cell and atoms, written as POSCAR:
```
CsCdP3O9
1.0
9.615 0.000 0.000
0.000 7.538 0.000
0.000 0.000 12.644
Cs Cd P O
4 4 12 36
direct
0.110 0.250 0.084 Cs
0.390 0.750 0.584 Cs
0.610 0.250 0.416 Cs
0.890 0.750 0.916 Cs
0.015 0.750 0.221 Cd
0.485 0.250 0.721 Cd
0.515 0.750 0.279 Cd
0.985 0.250 0.779 Cd
0.203 0.250 0.542 P
0.248 0.051 0.350 P
0.248 0.449 0.350 P
0.252 0.551 0.850 P
0.252 0.949 0.850 P
0.297 0.750 0.042 P
0.703 0.250 0.958 P
0.748 0.051 0.150 P
0.748 0.449 0.150 P
0.752 0.551 0.650 P
0.752 0.949 0.650 P
0.797 0.750 0.458 P
0.095 0.250 0.625 O
0.120 0.050 0.869 O
0.120 0.450 0.869 O
0.144 0.514 0.272 O
0.144 0.750 0.067 O
0.144 0.986 0.272 O
0.171 0.085 0.462 O
0.171 0.415 0.462 O
0.206 0.750 0.816 O
0.294 0.250 0.316 O
0.329 0.585 0.962 O
0.329 0.915 0.962 O
0.356 0.014 0.772 O
0.356 0.250 0.567 O
0.356 0.486 0.772 O
0.380 0.550 0.369 O
0.380 0.950 0.369 O
0.405 0.750 0.125 O
0.595 0.250 0.875 O
0.620 0.050 0.631 O
0.620 0.450 0.631 O
0.644 0.514 0.228 O
0.644 0.750 0.433 O
0.644 0.986 0.228 O
0.671 0.085 0.038 O
0.671 0.415 0.038 O
0.706 0.750 0.684 O
0.794 0.250 0.184 O
0.829 0.585 0.538 O
0.829 0.915 0.538 O
0.856 0.014 0.728 O
0.856 0.250 0.933 O
0.856 0.486 0.728 O
0.880 0.550 0.131 O
0.880 0.950 0.131 O
0.905 0.750 0.375 O
```

***

(7)
CsCd3Os | meta-GGA SCAN | PBEsol geometry

ΔH_f (0 K), meV per atom: 2148
Density, g/cm3: 3.882
Space group: Pm-3m, No. 221

Cell and atoms, written as POSCAR:
```
CsCd3Os
1.0
6.561 0.000 0.000
0.000 6.561 0.000
0.000 0.000 6.561
Cs Cd Os
1 3 1
direct
0.000 0.000 0.000 Cs
0.000 0.000 0.500 Cd
0.000 0.500 0.000 Cd
0.500 0.000 0.000 Cd
0.500 0.500 0.500 Os
```

***

(8)
Cs3CdOs | meta-GGA SCAN | PBEsol geometry

ΔH_f (0 K), meV per atom: 1150
Density, g/cm3: 5.527
Space group: Pm-3m, No. 221

Cell and atoms, written as POSCAR:
```
Cs3CdOs
1.0
5.951 0.000 0.000
0.000 5.951 0.000
0.000 0.000 5.951
Cs Cd Os
3 1 1
direct
0.000 0.000 0.500 Cs
0.000 0.500 0.000 Cs
0.500 0.000 0.000 Cs
0.500 0.500 0.500 Cd
0.000 0.000 0.000 Os
```

***

(9)
CsCdPS2 | meta-GGA SCAN | PBEsol geometry

Density, g/cm3: 4.255
Space group: P4/mmm, No. 123
Formation energy (no corrections), eV per atom: 0.13

Cell and atoms, written as POSCAR:
```
CsCdPS2
1.0
5.149 0.000 0.000
0.000 5.149 0.000
0.000 0.000 5.011
Cs Cd P S
1 1 1 2
direct
0.000 0.000 0.000 Cs
0.500 0.500 0.500 Cd
0.500 0.500 0.000 P
0.000 0.500 0.500 S
0.500 0.000 0.500 S
```

***

(10)
Cs2Cd2Pb | meta-GGA SCAN | PBEsol geometry

ΔH_f (0 K), meV per atom: 262
Density, g/cm3: 6.053
Space group: I4/mmm, No. 139

Cell and atoms, written as POSCAR:
```
Cs2Cd2Pb
1.0
-2.490 2.490 7.720
2.490 -2.490 7.720
2.490 2.490 -7.720
Cs Cd Pb
2 2 1
direct
0.250 0.750 0.500 Cs
0.750 0.250 0.500 Cs
0.086 0.086 0.000 Cd
0.914 0.914 0.000 Cd
0.500 0.500 0.000 Pb
```

***

(11)
CsCd2PdS | meta-GGA SCAN | PBEsol geometry

Density, g/cm3: 5.718
Space group: P4/mmm, No. 123
Formation energy (no corrections), eV per atom: 0.05

Cell and atoms, written as POSCAR:
```
CsCd2PdS
1.0
5.635 0.000 0.000
0.000 5.635 0.000
0.000 0.000 4.539
Cs Cd Pd S
1 2 1 1
direct
0.000 0.000 0.000 Cs
0.000 0.500 0.500 Cd
0.500 0.000 0.500 Cd
0.500 0.500 0.000 Pd
0.500 0.500 0.500 S
```

***

The highest density belongs to which entry?
CsCdNi3

***

Number 8 is which compound?
Cs3CdOs

***

Which formula does entry 2 have?
CsNa2Cd